Computed, not measured: a geometry-optimized LaTbDy2Tl2 structure at the PBE level of DFT.

Unit cell a=5.188 b=6.831 c=10.173 alpha=90.00 beta=90.00 gamma=90.00
Sites, in units of the cell vectors:
La 0.000 0.955 0.457
La 0.000 0.455 0.543
Tb 0.500 0.183 0.695
Tb 0.500 0.683 0.305
Dy 0.500 0.052 0.044
Dy 0.000 0.335 0.180
Dy 0.500 0.552 0.956
Dy 0.000 0.835 0.820
Tl 0.000 0.299 0.869
Tl 0.500 0.221 0.358
Tl 0.000 0.799 0.131
Tl 0.500 0.721 0.642

Output
Magnetic moment, μB/cell: 0.0
Energy relative to the elements, eV/atom: -0.27
Calculated total energy, eV/atom: -4.19

=====

Computed, not measured: a geometry-optimized La3Tb6DyTm2 structure at the PBE level of DFT.

Unit cell a=6.228 b=6.228 c=11.912 alpha=95.00 beta=95.00 gamma=120.02
Sites, in units of the cell vectors:
La 0.167 0.833 0.500
La 0.833 0.167 0.500
La 0.500 0.500 0.500
Tb 0.919 0.586 0.757
Tb 0.747 0.747 0.243
Tb 0.081 0.414 0.243
Tb 0.586 0.919 0.757
Tb 0.253 0.253 0.757
Tb 0.414 0.081 0.243
Dy 0.000 0.000 0.000
Tm 0.333 0.667 0.000
Tm 0.667 0.333 0.000

Output
Magnetic moment, μB/cell: 0.0
Energy relative to the elements, eV/atom: 0.02
Calculated total energy, eV/atom: -4.65

=====

Computed, not measured: a geometry-optimized La2Tb2DyTm4 structure at the PBE level of DFT.

Unit cell a=3.600 b=9.499 c=9.552 alpha=115.24 beta=90.00 gamma=100.92
Sites, in units of the cell vectors:
La 0.335 0.670 0.000
La 0.665 0.330 0.000
Tb 0.853 0.706 0.338
Tb 0.147 0.294 0.662
Dy 0.000 0.000 0.000
Tm 0.815 0.629 0.661
Tm 0.185 0.371 0.339
Tm 0.521 0.041 0.337
Tm 0.479 0.959 0.663

Output
Magnetic moment, μB/cell: 0.0
Energy relative to the elements, eV/atom: 0.00
Calculated total energy, eV/atom: -4.62